(1)
TmPuCu2 (PBE, relaxed); energy = -6.573 eV/atom; density = 9.97 g cm⁻³; symmetry = No. 166; excess energy over the best structure of this formula in the dataset = 0.266 eV per atom; spin magnetization = 5.9 μB/cell
1.0
1.823 1.052 7.815
-1.823 1.052 7.815
0.000 -2.105 7.815
Tm Pu Cu
1 1 2
Direct
0.000 0.000 0.000 Tm
0.500 0.500 0.500 Pu
0.253 0.253 0.253 Cu
0.747 0.747 0.747 Cu

(2)
Pu2AlGa6Pt (PBE, relaxed); energy = -5.901 eV/atom; density = 9.12 g cm⁻³; symmetry = No. 166; spin magnetization = 0.5 μB/cell
1.0
3.202 1.849 11.567
-3.202 1.849 11.567
0.000 -3.698 11.567
Pu Al Ga Pt
4 2 12 2
Direct
0.115 0.115 0.115 Pu
0.291 0.291 0.291 Pu
0.709 0.709 0.709 Pu
0.885 0.885 0.885 Pu
0.000 0.000 0.000 Al
0.500 0.500 0.500 Al
0.055 0.664 0.664 Ga
0.227 0.227 0.665 Ga
0.227 0.665 0.227 Ga
0.335 0.773 0.773 Ga
0.336 0.336 0.945 Ga
0.336 0.945 0.336 Ga
0.664 0.055 0.664 Ga
0.664 0.664 0.055 Ga
0.665 0.227 0.227 Ga
0.773 0.335 0.773 Ga
0.773 0.773 0.335 Ga
0.945 0.336 0.336 Ga
0.429 0.429 0.429 Pt
0.571 0.571 0.571 Pt

(3)
Tm6PuTl5 (PBE, relaxed); energy = -4.637 eV/atom; density = 11.76 g cm⁻³; symmetry = No. 71; spin magnetization = 8.3 μB/cell
1.0
-2.545 4.094 7.722
2.545 -4.094 7.722
2.545 4.094 -7.722
Tm Pu Tl
6 1 5
Direct
0.079 0.333 0.746 Tm
0.232 0.000 0.232 Tm
0.413 0.667 0.746 Tm
0.587 0.333 0.254 Tm
0.768 0.000 0.768 Tm
0.921 0.667 0.254 Tm
0.500 0.500 0.000 Pu
0.000 0.500 0.500 Tl
0.174 0.174 0.000 Tl
0.348 0.848 0.500 Tl
0.652 0.152 0.500 Tl
0.826 0.826 0.000 Tl

> Which value of density does entry 1 give?

9.97 g cm⁻³